Run 1
{
  "formula": "HfBPS2",
  "functional": "GGA-PBE",
  "state": "relaxed",
  "sg": "No. 123",
  "n_ef_per_ev_atom": 0.98,
  "lattice": [[4.896, 0.000, 0.000], [0.000, 4.896, 0.000], [0.000, 0.000, 5.065]],
  "species": ["P", "S", "S", "B", "Hf"],
  "fractional_positions": [[0.000, 0.000, 0.500], [0.000, 0.500, 0.000], [0.500, 0.000, 0.000], [0.500, 0.500, 0.500], [0.000, 0.000, 0.000]]
}

Run 2
{
  "formula": "HfBPS2",
  "functional": "GGA-PBE",
  "state": "relaxed",
  "sg": "No. 123",
  "n_ef_per_ev_atom": 0.59,
  "lattice": [[-1.342, 1.655, 3.645], [-3.589, -2.199, -0.323], [1.735, -3.135, 2.062]],
  "species": ["P", "S", "S", "B", "Hf"],
  "fractional_positions": [[0.000, 0.000, 0.500], [0.000, 0.500, 0.000], [0.500, 0.000, 0.000], [0.000, 0.000, 0.000], [0.500, 0.500, 0.500]]
}

Verdict on stability: run 2 comes out on top.

Run 1
{
  "formula": "HfBP2S",
  "functional": "GGA-PBE",
  "state": "relaxed",
  "sg": "No. 123",
  "n_ef_per_ev_atom": 0.89,
  "lattice": [[-2.384, 4.364, -0.521], [-4.204, -2.092, 1.718], [1.253, 1.230, 4.564]],
  "species": ["P", "P", "S", "B", "Hf"],
  "fractional_positions": [[0.000, 0.500, 0.000], [0.500, 0.000, 0.000], [0.000, 0.000, 0.500], [0.500, 0.500, 0.500], [0.000, 0.000, 0.000]]
}

Run 2
{
  "formula": "HfBP2S",
  "functional": "GGA-PBE",
  "state": "relaxed",
  "sg": "No. 123",
  "n_ef_per_ev_atom": 0.56,
  "lattice": [[-1.869, -2.852, -1.972], [-1.984, -1.529, 4.092], [-3.061, 2.409, -0.584]],
  "species": ["P", "P", "S", "B", "Hf"],
  "fractional_positions": [[0.000, 0.000, 0.500], [0.500, 0.000, 0.000], [0.000, 0.500, 0.000], [0.000, 0.000, 0.000], [0.500, 0.500, 0.500]]
}

Verdict on stability: run 2 comes out on top.

Run 1
{
  "formula": "HfPaB4",
  "functional": "GGA-PBE",
  "state": "relaxed",
  "sg": "No. 216",
  "n_ef_per_ev_atom": 0.56,
  "lattice": [[-4.529, 1.035, 0.577], [-3.157, -3.436, 0.374], [-2.084, -0.826, 4.109]],
  "species": ["B", "B", "B", "B", "Pa", "Hf"],
  "fractional_positions": [[0.654, 0.654, 0.037], [0.654, 0.037, 0.654], [0.654, 0.654, 0.654], [0.037, 0.654, 0.654], [0.250, 0.250, 0.250], [0.000, 0.000, 0.000]]
}

Run 2
{
  "formula": "HfPaB4",
  "functional": "GGA-PBE",
  "state": "relaxed",
  "sg": "No. 119",
  "n_ef_per_ev_atom": 0.48,
  "lattice": [[3.319, 0.000, -1.025], [-0.316, 3.304, -1.025], [0.099, 0.109, 6.208]],
  "species": ["Hf", "Pa", "B", "B", "B", "B"],
  "fractional_positions": [[0.250, 0.750, 0.500], [0.000, 0.000, 0.000], [0.673, 0.173, 0.346], [0.588, 0.588, 0.176], [0.827, 0.327, 0.654], [0.412, 0.412, 0.824]]
}

Verdict on stability: run 2 comes out on top.

Run 1
{
  "formula": "HfBPb3",
  "functional": "GGA-PBE",
  "state": "relaxed",
  "sg": "No. 221",
  "n_ef_per_ev_atom": 0.90,
  "lattice": [[-2.836, -4.014, 0.956], [4.037, -2.938, -0.361], [0.851, 0.566, 4.901]],
  "species": ["Pb", "Pb", "Pb", "B", "Hf"],
  "fractional_positions": [[0.000, 0.500, 0.000], [0.000, 0.000, 0.500], [0.500, 0.000, 0.000], [0.000, 0.000, 0.000], [0.500, 0.500, 0.500]]
}

Run 2
{
  "formula": "HfBPb3",
  "functional": "GGA-PBE",
  "state": "relaxed",
  "sg": "No. 221",
  "n_ef_per_ev_atom": 0.62,
  "lattice": [[-0.331, -0.084, -5.615], [-4.465, -3.409, 0.314], [-3.407, 4.475, 0.134]],
  "species": ["Pb", "Pb", "Pb", "B", "Hf"],
  "fractional_positions": [[0.000, 0.500, 0.000], [0.000, 0.000, 0.500], [0.500, 0.000, 0.000], [0.500, 0.500, 0.500], [0.000, 0.000, 0.000]]
}

Verdict on stability: run 1 comes out on top.

Run 1
{
  "formula": "HfB3Pb",
  "functional": "GGA-PBE",
  "state": "relaxed",
  "sg": "No. 221",
  "n_ef_per_ev_atom": 0.70,
  "lattice": [[-1.006, -0.975, -4.232], [-0.713, -4.248, 1.148], [-4.284, 0.936, 0.803]],
  "species": ["Pb", "B", "B", "B", "Hf"],
  "fractional_positions": [[0.000, 0.000, 0.000], [0.000, 0.500, 0.000], [0.000, 0.000, 0.500], [0.500, 0.000, 0.000], [0.500, 0.500, 0.500]]
}

Run 2
{
  "formula": "HfB3Pb",
  "functional": "GGA-PBE",
  "state": "relaxed",
  "sg": "No. 221",
  "n_ef_per_ev_atom": 0.47,
  "lattice": [[-2.412, -1.689, -3.448], [-2.347, -2.573, 2.902], [-3.038, 3.329, 0.495]],
  "species": ["Pb", "B", "B", "B", "Hf"],
  "fractional_positions": [[0.500, 0.500, 0.500], [0.000, 0.500, 0.000], [0.000, 0.000, 0.500], [0.500, 0.000, 0.000], [0.000, 0.000, 0.000]]
}

Verdict on stability: run 2 comes out on top.

Run 1
{
  "formula": "HfB2Pd",
  "functional": "GGA-PBE",
  "state": "relaxed",
  "sg": "No. 225",
  "n_ef_per_ev_atom": 0.22,
  "lattice": [[-0.539, 0.444, 4.029], [-3.235, 2.062, 1.415], [-3.029, -1.994, 1.890]],
  "species": ["B", "B", "Hf", "Pd"],
  "fractional_positions": [[0.250, 0.250, 0.250], [0.750, 0.750, 0.750], [0.500, 0.500, 0.500], [0.000, 0.000, 0.000]]
}

Run 2
{
  "formula": "HfB2Pd",
  "functional": "GGA-PBE",
  "state": "relaxed",
  "sg": "No. 141",
  "n_ef_per_ev_atom": 0.49,
  "lattice": [[3.848, 0.000, 0.000], [0.000, 3.848, 0.000], [1.924, 1.924, 7.357]],
  "species": ["B", "B", "B", "B", "Hf", "Hf", "Pd", "Pd"],
  "fractional_positions": [[0.375, 0.125, 0.250], [0.375, 0.625, 0.250], [0.375, 0.625, 0.750], [0.875, 0.625, 0.750], [0.000, 0.000, 0.000], [0.750, 0.250, 0.500], [0.500, 0.500, 0.000], [0.250, 0.750, 0.500]]
}

Verdict on stability: run 2 comes out on top.

Run 1
{
  "formula": "HfB3Pd",
  "functional": "GGA-PBE",
  "state": "relaxed",
  "sg": "No. 221",
  "n_ef_per_ev_atom": 0.41,
  "lattice": [[4.325, 0.000, 0.000], [0.000, 4.325, 0.000], [0.000, 0.000, 4.325]],
  "species": ["B", "B", "B", "Hf", "Pd"],
  "fractional_positions": [[0.000, 0.500, 0.000], [0.000, 0.000, 0.500], [0.500, 0.000, 0.000], [0.000, 0.000, 0.000], [0.500, 0.500, 0.500]]
}

Run 2
{
  "formula": "HfB3Pd",
  "functional": "GGA-PBE",
  "state": "relaxed",
  "sg": "No. 221",
  "n_ef_per_ev_atom": 0.39,
  "lattice": [[-1.101, -0.804, -3.800], [3.874, -0.514, -1.013], [-0.282, -3.922, 0.912]],
  "species": ["B", "B", "B", "Hf", "Pd"],
  "fractional_positions": [[0.000, 0.500, 0.000], [0.000, 0.000, 0.500], [0.500, 0.000, 0.000], [0.500, 0.500, 0.500], [0.000, 0.000, 0.000]]
}

Verdict on stability: run 2 comes out on top.

Run 1
{
  "formula": "HfBRu2Pt",
  "functional": "GGA-PBE",
  "state": "relaxed",
  "sg": "No. 123",
  "n_ef_per_ev_atom": 1.42,
  "lattice": [[4.767, 0.000, 0.000], [0.000, 4.935, 0.000], [0.000, 0.000, 4.767]],
  "species": ["Ru", "Ru", "B", "Hf", "Pt"],
  "fractional_positions": [[0.000, 0.000, 0.500], [0.500, 0.000, 0.000], [0.500, 0.500, 0.500], [0.000, 0.000, 0.000], [0.000, 0.500, 0.000]]
}

Run 2
{
  "formula": "HfBRu2Pt",
  "functional": "GGA-PBE",
  "state": "relaxed",
  "sg": "No. 123",
  "n_ef_per_ev_atom": 0.66,
  "lattice": [[4.172, 0.000, 0.000], [0.000, 4.172, 0.000], [0.000, 0.000, 4.108]],
  "species": ["Ru", "Ru", "B", "Hf", "Pt"],
  "fractional_positions": [[0.000, 0.500, 0.000], [0.500, 0.000, 0.000], [0.000, 0.000, 0.000], [0.500, 0.500, 0.500], [0.000, 0.000, 0.500]]
}

Verdict on stability: run 2 comes out on top.

Run 1
{
  "formula": "Rb2HfSiB",
  "functional": "GGA-PBE",
  "state": "relaxed",
  "sg": "No. 123",
  "n_ef_per_ev_atom": 0.98,
  "lattice": [[-2.528, 0.088, 5.782], [-2.511, -3.396, -1.046], [4.492, -3.945, 2.024]],
  "species": ["Si", "B", "Hf", "Rb", "Rb"],
  "fractional_positions": [[0.500, 0.500, 0.500], [0.000, 0.000, 0.000], [0.000, 0.500, 0.000], [0.000, 0.000, 0.500], [0.500, 0.000, 0.000]]
}

Run 2
{
  "formula": "Rb2HfSiB",
  "functional": "GGA-PBE",
  "state": "relaxed",
  "sg": "No. 123",
  "n_ef_per_ev_atom": 2.21,
  "lattice": [[-5.016, 5.069, 1.831], [1.227, -0.521, 4.802], [5.075, 5.284, -0.724]],
  "species": ["Si", "B", "Hf", "Rb", "Rb"],
  "fractional_positions": [[0.000, 0.500, 0.000], [0.500, 0.500, 0.500], [0.000, 0.000, 0.000], [0.000, 0.000, 0.500], [0.500, 0.000, 0.000]]
}

Verdict on stability: run 1 comes out on top.

Run 1
{
  "formula": "Hf3ReB",
  "functional": "GGA-PBE",
  "state": "relaxed",
  "sg": "No. 221",
  "n_ef_per_ev_atom": 2.13,
  "lattice": [[-4.845, -1.054, 0.540], [0.466, -3.786, -3.213], [1.089, -3.070, 3.776]],
  "species": ["Re", "B", "Hf", "Hf", "Hf"],
  "fractional_positions": [[0.000, 0.000, 0.000], [0.500, 0.500, 0.500], [0.000, 0.500, 0.000], [0.000, 0.000, 0.500], [0.500, 0.000, 0.000]]
}

Run 2
{
  "formula": "Hf3ReB",
  "functional": "GGA-PBE",
  "state": "relaxed",
  "sg": "No. 221",
  "n_ef_per_ev_atom": 0.65,
  "lattice": [[4.496, 0.000, 0.000], [0.000, 4.496, 0.000], [0.000, 0.000, 4.496]],
  "species": ["Re", "B", "Hf", "Hf", "Hf"],
  "fractional_positions": [[0.500, 0.500, 0.500], [0.000, 0.000, 0.000], [0.000, 0.500, 0.000], [0.000, 0.000, 0.500], [0.500, 0.000, 0.000]]
}

Verdict on stability: run 2 comes out on top.

Run 1
{
  "formula": "HfReB3",
  "functional": "GGA-PBE",
  "state": "relaxed",
  "sg": "No. 221",
  "n_ef_per_ev_atom": 0.46,
  "lattice": [[-1.082, 1.500, -3.584], [2.167, -2.855, -1.849], [-3.224, -2.422, -0.040]],
  "species": ["Re", "B", "B", "B", "Hf"],
  "fractional_positions": [[0.000, 0.000, 0.000], [0.000, 0.500, 0.000], [0.000, 0.000, 0.500], [0.500, 0.000, 0.000], [0.500, 0.500, 0.500]]
}

Run 2
{
  "formula": "HfReB3",
  "functional": "GGA-PBE",
  "state": "relaxed",
  "sg": "No. 221",
  "n_ef_per_ev_atom": 0.62,
  "lattice": [[4.135, 0.000, 0.000], [0.000, 4.135, 0.000], [0.000, 0.000, 4.135]],
  "species": ["Re", "B", "B", "B", "Hf"],
  "fractional_positions": [[0.500, 0.500, 0.500], [0.000, 0.500, 0.000], [0.000, 0.000, 0.500], [0.500, 0.000, 0.000], [0.000, 0.000, 0.000]]
}

Verdict on stability: run 1 comes out on top.

Run 1
{
  "formula": "HfReB",
  "functional": "GGA-PBE",
  "state": "relaxed",
  "sg": "No. 59",
  "n_ef_per_ev_atom": 0.47,
  "lattice": [[3.845, 0.000, 0.294], [0.000, 3.353, 0.000], [-0.503, 0.000, 6.582]],
  "species": ["Hf", "Hf", "B", "B", "Re", "Re"],
  "fractional_positions": [[0.250, 0.250, 0.359], [0.750, 0.750, 0.641], [0.250, 0.250, 0.756], [0.750, 0.750, 0.244], [0.750, 0.250, 0.999], [0.250, 0.750, 0.001]]
}

Run 2
{
  "formula": "HfReB",
  "functional": "GGA-PBE",
  "state": "relaxed",
  "sg": "No. 12",
  "n_ef_per_ev_atom": 0.31,
  "lattice": [[3.236, 0.000, 0.000], [1.618, 4.882, -0.134], [1.618, 1.071, 5.138]],
  "species": ["Hf", "Hf", "Re", "Re", "B", "B"],
  "fractional_positions": [[0.422, 0.328, 0.828], [0.578, 0.672, 0.172], [0.809, 0.789, 0.593], [0.191, 0.211, 0.407], [0.887, 0.068, 0.159], [0.113, 0.932, 0.841]]
}

Verdict on stability: run 2 comes out on top.

Run 1
{
  "formula": "HfBRu2Rh",
  "functional": "GGA-PBE",
  "state": "relaxed",
  "sg": "No. 123",
  "n_ef_per_ev_atom": 0.61,
  "lattice": [[-1.707, 1.318, -3.397], [-3.810, 0.775, 2.215], [1.241, 3.737, 0.826]],
  "species": ["Rh", "B", "Hf", "Ru", "Ru"],
  "fractional_positions": [[0.500, 0.500, 0.500], [0.000, 0.000, 0.000], [0.000, 0.500, 0.000], [0.000, 0.000, 0.500], [0.500, 0.000, 0.000]]
}

Run 2
{
  "formula": "HfBRu2Rh",
  "functional": "GGA-PBE",
  "state": "relaxed",
  "sg": "No. 123",
  "n_ef_per_ev_atom": 0.31,
  "lattice": [[4.137, 0.000, 0.000], [0.000, 4.137, 0.000], [0.000, 0.000, 4.079]],
  "species": ["Rh", "B", "Hf", "Ru", "Ru"],
  "fractional_positions": [[0.000, 0.000, 0.500], [0.000, 0.000, 0.000], [0.500, 0.500, 0.500], [0.000, 0.500, 0.000], [0.500, 0.000, 0.000]]
}

Verdict on stability: run 2 comes out on top.

Run 1
{
  "formula": "Hf3BRu",
  "functional": "GGA-PBE",
  "state": "relaxed",
  "sg": "No. 221",
  "n_ef_per_ev_atom": 1.19,
  "lattice": [[-1.534, -3.977, -1.440], [4.167, -1.158, -1.242], [0.727, -1.757, 4.078]],
  "species": ["Ru", "B", "Hf", "Hf", "Hf"],
  "fractional_positions": [[0.500, 0.500, 0.500], [0.000, 0.000, 0.000], [0.000, 0.500, 0.000], [0.000, 0.000, 0.500], [0.500, 0.000, 0.000]]
}

Run 2
{
  "formula": "Hf3BRu",
  "functional": "GGA-PBE",
  "state": "relaxed",
  "sg": "No. 221",
  "n_ef_per_ev_atom": 1.63,
  "lattice": [[-4.233, 0.593, -2.390], [1.086, -3.816, -2.871], [-2.209, -3.012, 3.167]],
  "species": ["Ru", "B", "Hf", "Hf", "Hf"],
  "fractional_positions": [[0.000, 0.000, 0.000], [0.500, 0.500, 0.500], [0.000, 0.500, 0.000], [0.000, 0.000, 0.500], [0.500, 0.000, 0.000]]
}

Verdict on stability: run 1 comes out on top.